No. 1
TbYFe2Si4 (PBE-GGA, relaxed); total moment = 0.2 Bohr magnetons per cell; VASP energy = -6.787 eV/atom
1.0
3.964 0.000 0.000
0.000 2.024 8.222
0.000 -2.024 8.222
Fe Si Tb Y
2 4 1 1
Direct
0.500 0.179 0.179
0.000 0.821 0.821
0.000 0.957 0.957
0.500 0.750 0.750
0.500 0.043 0.043
0.000 0.250 0.250
0.500 0.392 0.392
0.000 0.608 0.608

***

No. 2
Fe2SiTc (PBE-GGA, relaxed); total moment = 3.6 Bohr magnetons per cell; VASP energy = -8.356 eV/atom
1.0
0.000 2.888 2.888
2.888 0.000 2.888
2.888 2.888 0.000
Fe Si Tc
2 1 1
Direct
0.500 0.500 0.500
0.250 0.250 0.250
0.000 0.000 0.000
0.750 0.750 0.750

***

No. 3
FeSiTcW (PBE-GGA, relaxed); total moment = 0.7 Bohr magnetons per cell; energy above the most stable polymorph in this dataset = 0 meV/atom; VASP energy = -9.405 eV/atom
1.0
0.000 2.983 2.983
2.983 0.000 2.983
2.983 2.983 0.000
Tc Si Fe W
1 1 1 1
Direct
0.250 0.250 0.250
0.000 0.000 0.000
0.750 0.750 0.750
0.500 0.500 0.500

***

No. 4
YFeSiTc (PBE-GGA, relaxed); total moment = 3.9 Bohr magnetons per cell; energy above the most stable polymorph in this dataset = 236 meV/atom; VASP energy = -7.396 eV/atom
1.0
0.000 3.219 3.219
3.219 0.000 3.219
3.219 3.219 0.000
Fe Tc Y Si
1 1 1 1
Direct
0.750 0.750 0.750
0.500 0.500 0.500
0.250 0.250 0.250
0.000 0.000 0.000

***

No. 5
YFeSiTc (PBE-GGA, relaxed); total moment = 1.8 Bohr magnetons per cell; energy above the most stable polymorph in this dataset = 0 meV/atom; VASP energy = -7.632 eV/atom
1.0
0.187 -3.679 2.458
-1.681 -0.014 4.098
-3.700 -2.274 0.868
Fe Si Tc Y
1 1 1 1
Direct
0.750 0.750 0.750
0.000 0.000 0.000
0.250 0.250 0.250
0.500 0.500 0.500

***

No. 6
FeSi2Te (PBE-GGA, relaxed); total moment = 1.6 Bohr magnetons per cell; VASP energy = -4.914 eV/atom
1.0
2.757 -2.203 2.759
2.931 2.267 2.517
-0.587 0.262 4.433
Fe Si Te
1 2 1
Direct
0.250 0.250 0.250
0.750 0.750 0.750
0.000 0.000 0.000
0.500 0.500 0.500

***

No. 7
TlFe3Si5 (PBE-GGA, relaxed); total moment = 2.9 Bohr magnetons per cell; VASP energy = -6.044 eV/atom
1.0
-3.542 -3.003 1.798
1.334 -0.311 -4.788
4.229 -4.123 1.446
Fe Si Tl
3 5 1
Direct
0.000 0.500 0.500
0.500 0.000 0.500
0.500 0.500 0.500
0.000 0.000 0.500
0.667 0.333 0.199
0.333 0.667 0.801
0.667 0.333 0.801
0.333 0.667 0.199
0.000 0.000 0.000

***

No. 8
Tm2Fe3Si5 (PBE-GGA, relaxed); total moment = 0.0 Bohr magnetons per cell; VASP energy = -6.799 eV/atom
1.0
-4.351 4.726 8.044
7.797 -3.033 5.999
2.690 4.530 -1.206
Si Tm Fe
20 8 12
Direct
0.523 0.181 0.000
0.319 0.977 0.500
0.000 0.000 0.738
0.678 0.822 0.750
0.678 0.822 0.250
0.178 0.678 0.250
0.477 0.819 0.000
0.819 0.523 0.000
0.977 0.681 0.500
0.181 0.477 0.000
0.500 0.500 0.762
0.023 0.319 0.500
0.681 0.023 0.500
0.000 0.000 0.262
0.500 0.500 0.238
0.178 0.678 0.750
0.322 0.178 0.250
0.322 0.178 0.750
0.822 0.322 0.250
0.822 0.322 0.750
0.736 0.570 0.500
0.764 0.070 0.000
0.264 0.430 0.500
0.930 0.764 0.000
0.570 0.264 0.500
0.236 0.930 0.000
0.070 0.236 0.000
0.430 0.736 0.500
0.623 0.644 0.000
0.644 0.377 0.000
0.356 0.623 0.000
0.500 0.000 0.750
0.377 0.356 0.000
0.144 0.123 0.500
0.000 0.500 0.750
0.856 0.877 0.500
0.000 0.500 0.250
0.500 0.000 0.250
0.877 0.144 0.500
0.123 0.856 0.500

***

Q: What is the formula in the third record?
A: FeSiTcW